(1)
# PBE CeNdBiBr, optimized geometry
data_CeNdBiBr
_space_group_name_H-M_alt 'F -4 3 m'
_space_group_IT_number 216
_space_group_name_Hall 'F -4 2 3'
_cell_length_a 7.7485
_cell_length_b 7.7485
_cell_length_c 7.7485
_cell_angle_alpha 90.00
_cell_angle_beta 90.00
_cell_angle_gamma 90.00
loop_
_atom_site_label
_atom_site_type_symbol
_atom_site_fract_x
_atom_site_fract_y
_atom_site_fract_z
_atom_site_occupancy
Ce1 Ce 0.0000 0.0000 0.0000 1
Nd1 Nd 0.0000 0.0000 0.5000 1
Bi1 Bi 0.2500 0.2500 0.2500 1
Br1 Br 0.2500 0.2500 0.7500 1
# Uncorrected formation energy, eV/atom: -0.92

---

(2)
# PBE CaIn2SiAg, optimized geometry
data_CaIn2SiAg
_space_group_name_H-M_alt 'P 4/m m m'
_space_group_IT_number 123
_space_group_name_Hall '-P 4 2'
_cell_length_a 5.8036
_cell_length_b 5.8036
_cell_length_c 5.2517
_cell_angle_alpha 90.00
_cell_angle_beta 90.00
_cell_angle_gamma 90.00
loop_
_atom_site_label
_atom_site_type_symbol
_atom_site_fract_x
_atom_site_fract_y
_atom_site_fract_z
_atom_site_occupancy
Ca1 Ca 0.0000 0.0000 0.0000 1
In1 In 0.0000 0.5000 0.0000 1
Si1 Si 0.5000 0.5000 0.5000 1
Ag1 Ag 0.0000 0.0000 0.5000 1
# Uncorrected formation energy, eV/atom: 1.08

---

(3)
# PBE Li7TmPd4, optimized geometry
data_Li7TmPd4
_space_group_name_H-M_alt 'C 1 2/m 1'
_space_group_IT_number 12
_cell_length_a 13.1764
_cell_length_b 4.6528
_cell_length_c 7.8543
_cell_angle_alpha 90.00
_cell_angle_beta 126.52
_cell_angle_gamma 90.00
loop_
_space_group_symop_operation_xyz
'x,y,z'
'-x,-y,-z'
'-x,y,-z'
'x,-y,z'
'x+1/2,y+1/2,z'
'-x+1/2,-y+1/2,-z'
'-x+1/2,y+1/2,-z'
'x+1/2,-y+1/2,z'
loop_
_atom_site_label
_atom_site_type_symbol
_atom_site_fract_x
_atom_site_fract_y
_atom_site_fract_z
_atom_site_occupancy
Li1 Li 0.0000 0.0000 0.0000 1
Li2 Li 0.0731 0.5000 0.7052 1
Li3 Li 0.2006 0.0000 0.7433 1
Li4 Li 0.2180 0.5000 0.5466 1
Tm1 Tm 0.0000 0.5000 0.0000 1
Pd1 Pd 0.0447 0.0000 0.3473 1
Pd2 Pd 0.1894 0.0000 0.0454 1
# Formation energy, eV/atom: -0.19

---

(4)
# PBE Rb2Ge2As, optimized geometry
data_Rb2Ge2As
_space_group_name_H-M_alt 'C 1 2/m 1'
_space_group_IT_number 12
_cell_length_a 7.9546
_cell_length_b 12.7592
_cell_length_c 8.4695
_cell_angle_alpha 90.00
_cell_angle_beta 114.99
_cell_angle_gamma 90.00
loop_
_space_group_symop_operation_xyz
'x,y,z'
'-x,-y,-z'
'-x,y,-z'
'x,-y,z'
'x+1/2,y+1/2,z'
'-x+1/2,-y+1/2,-z'
'-x+1/2,y+1/2,-z'
'x+1/2,-y+1/2,z'
loop_
_atom_site_label
_atom_site_type_symbol
_atom_site_fract_x
_atom_site_fract_y
_atom_site_fract_z
_atom_site_occupancy
Rb1 Rb 0.2237 0.1556 0.2666 1
Ge1 Ge 0.1438 0.5000 0.3067 1
Ge2 Ge 0.2208 0.0000 0.9027 1
As1 As 0.0000 0.3705 0.0000 1
# Offset from the most stable computed form, meV per atom: 0
# Formation energy, eV/atom: -0.06

---

(5)
# PBE MgMn2Nb, optimized geometry
data_MgMn2Nb
_space_group_name_H-M_alt 'I -4 2 d'
_space_group_IT_number 122
_space_group_name_Hall 'I -4 2bw'
_cell_length_a 6.9857
_cell_length_b 6.9857
_cell_length_c 5.5274
_cell_angle_alpha 90.00
_cell_angle_beta 90.00
_cell_angle_gamma 90.00
loop_
_atom_site_label
_atom_site_type_symbol
_atom_site_fract_x
_atom_site_fract_y
_atom_site_fract_z
_atom_site_occupancy
Mg1 Mg 0.0000 0.0000 0.0000 1
Mn1 Mn 0.2354 0.2500 0.6250 1
Nb1 Nb 0.0000 0.0000 0.5000 1
# Formation energy, eV/atom: 0.66

---

(6)
# PBE Na2ZrIn2S6, optimized geometry
data_Na2ZrIn2S6
_space_group_name_H-M_alt 'C 1 2/m 1'
_space_group_IT_number 12
_cell_length_a 6.6265
_cell_length_b 11.2975
_cell_length_c 7.2089
_cell_angle_alpha 90.00
_cell_angle_beta 108.49
_cell_angle_gamma 90.00
loop_
_space_group_symop_operation_xyz
'x,y,z'
'-x,-y,-z'
'-x,y,-z'
'x,-y,z'
'x+1/2,y+1/2,z'
'-x+1/2,-y+1/2,-z'
'-x+1/2,y+1/2,-z'
'x+1/2,-y+1/2,z'
loop_
_atom_site_label
_atom_site_type_symbol
_atom_site_fract_x
_atom_site_fract_y
_atom_site_fract_z
_atom_site_occupancy
Na1 Na 0.0000 0.1693 0.0000 1
Zr1 Zr 0.0000 0.0000 0.5000 1
In1 In 0.0000 0.3315 0.5000 1
S1 S 0.2355 0.1644 0.7183 1
S2 S 0.2463 0.5000 0.7120 1
# Uncorrected formation energy, eV/atom: -1.02